GGA+U CsNiF, relaxed; distance to the lowest polymorph of the same formula = 1185 meV/atom; symmetry = No. 216
1.0
0.000 3.287 3.287
3.287 0.000 3.287
3.287 3.287 0.000
Cs Ni F
1 1 1
Direct
0.000 0.000 0.000 Cs
0.500 0.500 0.500 Ni
0.250 0.250 0.250 F